Entry from Alexandria via LeMat-Bulk: a relaxed CaRh crystal (PBE).

Cell: 10.119 10.119 4.427 Å, 90.00 90.00 90.00°
Space group I4/mmm (No. 139)
Unique sites:
Ca1 0.000 0.267 0.000 (multiplicity 8)
Rh1 0.214 0.214 0.500 (multiplicity 8)

Output
Energy of formation = -0.086 eV per atom
Crystal system = tetragonal
Final energy = -4.76 eV/atom

---

Entry from Alexandria via LeMat-Bulk: a relaxed MnRe crystal (PBE).

Cell: 6.012 6.012 6.012 Å, 90.00 90.00 90.00°
Space group Fd-3m (No. 227, origin choice 2)
Unique sites:
Mn1 0.125 0.125 0.125 (multiplicity 8)
Re1 0.125 0.125 0.625 (multiplicity 8)

Output
Energy of formation = 0.071 eV per atom
Crystal system = cubic
Final energy = -10.74 eV/atom

---

Entry from Alexandria via LeMat-Bulk: a relaxed LiNiSn crystal (PBE).

Cell: 5.962 5.962 5.962 Å, 90.00 90.00 90.00°
Space group F-43m (No. 216)
Unique sites:
Li1 0.000 0.000 0.000 (multiplicity 4)
Ni1 0.250 0.250 0.250 (multiplicity 4)
Sn1 0.000 0.000 0.500 (multiplicity 4)

Output
Energy of formation = -0.172 eV per atom
Crystal system = cubic
Final energy = -4.07 eV/atom

---

Entry from Alexandria via LeMat-Bulk: a relaxed RbSNF2 crystal (PBE).

Cell: 5.231 5.231 5.617 Å, 90.00 90.00 90.00°
Space group P4/mmm (No. 123)
Unique sites:
Rb1 0.000 0.000 0.000 (multiplicity 1)
S1 0.500 0.500 0.500 (multiplicity 1)
N1 0.000 0.000 0.500 (multiplicity 1)
F1 0.000 0.500 0.000 (multiplicity 2)

Output
Crystal system = tetragonal
Final energy = -2.79 eV/atom
Energy relative to the lowest polymorph listed for this composition = 1445 meV/atom
Formation energy without anion corrections = 646 meV per atom

---

Entry from Alexandria via LeMat-Bulk: a relaxed BIrAu crystal (PBE).

Cell: 3.045 3.659 4.177 Å, 90.39 90.08 114.45°
Space group P1 (No. 1)
Unique sites:
B1 0.000 0.000 0.000 (multiplicity 1)
Ir1 0.698 0.397 0.115 (multiplicity 1)
Au1 0.405 0.809 0.600 (multiplicity 1)

Output
Energy of formation = 0.165 eV per atom
Crystal system = triclinic
Final energy = -6.11 eV/atom

---

Entry from Alexandria via LeMat-Bulk: a relaxed Ho3Er6Zr crystal (PBE).

Cell: 4.876 11.312 11.304 Å, 90.00 90.05 90.00°
Space group P2_1/c (No. 14)
Unique sites:
Ho1 0.000 0.000 0.000 (multiplicity 2)
Ho2 0.000 0.148 0.352 (multiplicity 4)
Er1 0.000 0.147 0.647 (multiplicity 4)
Er2 0.499 0.000 0.215 (multiplicity 4)
Er3 0.500 0.215 0.000 (multiplicity 4)
Zr1 0.500 0.000 0.500 (multiplicity 2)

Output
Energy of formation = 0.209 eV per atom
Crystal system = monoclinic
Final energy = -4.76 eV/atom
Energy relative to the lowest polymorph listed for this composition = 60 meV/atom